1.
VASP calculation (PBE-GGA) on a relaxed KBaTmTe3 crystal.

a = 9.181 Å, b = 4.779 Å, c = 10.660 Å
α = 90.00°, β = 109.16°, γ = 90.00°
Fractional coordinates of all 12 atoms:
1 K 0.094 0.250 0.077
2 K 0.906 0.750 0.923
3 Ba 0.262 0.250 0.765
4 Ba 0.738 0.750 0.235
5 Tm 0.316 0.750 0.354
6 Tm 0.684 0.250 0.646
7 Te 0.098 0.250 0.379
8 Te 0.314 0.750 0.041
9 Te 0.465 0.750 0.648
10 Te 0.535 0.250 0.352
11 Te 0.686 0.250 0.959
12 Te 0.902 0.750 0.621

Calculated values
The final energy is -4.064 eV per atom. As for the space group: P2_1/m (11).

---

2.
VASP calculation (PBE-GGA) on a relaxed SmTmAu crystal.

a = 7.202 Å, b = 4.950 Å, c = 8.893 Å
α = 90.00°, β = 90.00°, γ = 90.00°
Fractional coordinates of all 12 atoms:
1 Sm 0.014 0.250 0.177
2 Sm 0.486 0.750 0.677
3 Sm 0.514 0.250 0.323
4 Sm 0.986 0.750 0.823
5 Tm 0.148 0.250 0.580
6 Tm 0.352 0.750 0.080
7 Tm 0.648 0.250 0.920
8 Tm 0.852 0.750 0.420
9 Au 0.248 0.750 0.401
10 Au 0.252 0.250 0.901
11 Au 0.748 0.750 0.099
12 Au 0.752 0.250 0.599

Calculated values
The final energy is -4.782 eV per atom. The energy relative to the elements is -0.631 eV/atom. As for the space group: Pnma (62).

---

3.
VASP calculation (PBE-GGA) on a relaxed AlZn crystal.

a = 4.735 Å, b = 11.163 Å, c = 4.825 Å
α = 90.00°, β = 90.00°, γ = 90.00°
Fractional coordinates of all 16 atoms:
1 Al 0.250 0.000 0.166
2 Al 0.250 0.125 0.668
3 Al 0.250 0.375 0.668
4 Al 0.250 0.500 0.166
5 Al 0.750 0.000 0.834
6 Al 0.750 0.500 0.834
7 Al 0.750 0.625 0.332
8 Al 0.750 0.875 0.332
9 Zn 0.250 0.250 0.168
10 Zn 0.250 0.626 0.663
11 Zn 0.250 0.750 0.160
12 Zn 0.250 0.874 0.663
13 Zn 0.750 0.126 0.337
14 Zn 0.750 0.250 0.840
15 Zn 0.750 0.374 0.337
16 Zn 0.750 0.750 0.832

Calculated values
The final energy is -2.439 eV per atom. As for the space group: Pmmn (59).

---

4.
VASP calculation (PBE-GGA) on a relaxed RbHoSc crystal.

a = 5.820 Å, b = 5.820 Å, c = 5.820 Å
α = 60.00°, β = 60.00°, γ = 60.00°
Fractional coordinates of all 3 atoms:
1 Rb 0.000 0.000 0.000
2 Ho 0.500 0.500 0.500
3 Sc 0.750 0.750 0.750

Calculated values
The final energy is -2.686 eV per atom. As for the space group: F-43m (216).

---

5.
VASP calculation (PBE-GGA) on a relaxed TmAuSO crystal.

a = 3.851 Å, b = 3.851 Å, c = 9.105 Å
α = 90.00°, β = 90.00°, γ = 90.00°
Fractional coordinates of all 8 atoms:
1 Tm 0.250 0.250 0.120
2 Tm 0.750 0.750 0.880
3 Au 0.250 0.750 0.500
4 Au 0.750 0.250 0.500
5 S 0.250 0.250 0.719
6 S 0.750 0.750 0.281
7 O 0.250 0.750 0.000
8 O 0.750 0.250 0.000

Calculated values
The final energy is -6.011 eV per atom. As for the space group: P4/nmm (129).

---

6.
VASP calculation (PBE-GGA) on a relaxed FeCoSnOs crystal.

a = 4.337 Å, b = 4.337 Å, c = 4.337 Å
α = 60.00°, β = 60.00°, γ = 60.00°
Fractional coordinates of all 4 atoms:
1 Fe 0.000 0.000 0.000
2 Co 0.750 0.750 0.750
3 Sn 0.500 0.500 0.500
4 Os 0.250 0.250 0.250

Calculated values
The final energy is -7.468 eV per atom. As for the space group: F-43m (216).

---

7.
VASP calculation (PBE-GGA) on a relaxed Ho3NiS crystal.

a = 5.064 Å, b = 5.064 Å, c = 5.064 Å
α = 90.00°, β = 90.00°, γ = 90.00°
Fractional coordinates of all 5 atoms:
1 Ho 0.000 0.000 0.500
2 Ho 0.000 0.500 0.000
3 Ho 0.500 0.000 0.000
4 Ni 0.500 0.500 0.500
5 S 0.000 0.000 0.000

Calculated values
The final energy is -5.037 eV per atom. As for the space group: Pm-3m (221).

---

8.
VASP calculation (PBE-GGA) on a relaxed TcNiIrPb crystal.

a = 4.475 Å, b = 4.475 Å, c = 4.475 Å
α = 60.00°, β = 60.00°, γ = 60.00°
Fractional coordinates of all 4 atoms:
1 Tc 0.000 0.000 0.000
2 Ni 0.500 0.500 0.500
3 Ir 0.750 0.750 0.750
4 Pb 0.250 0.250 0.250

Calculated values
The final energy is -6.639 eV per atom. As for the space group: F-43m (216).

---

9.
VASP calculation (PBE-GGA) on a relaxed NaPrMgTe3 crystal.

a = 12.831 Å, b = 4.590 Å, c = 13.289 Å
α = 90.00°, β = 90.00°, γ = 90.00°
Fractional coordinates of all 24 atoms:
1 Na 0.155 0.250 0.001
2 Na 0.345 0.750 0.501
3 Na 0.655 0.250 0.499
4 Na 0.845 0.750 0.999
5 Pr 0.027 0.250 0.322
6 Pr 0.473 0.750 0.822
7 Pr 0.527 0.250 0.178
8 Pr 0.973 0.750 0.678
9 Mg 0.245 0.250 0.714
10 Mg 0.255 0.750 0.214
11 Mg 0.745 0.250 0.786
12 Mg 0.755 0.750 0.286
13 Te 0.051 0.750 0.149
14 Te 0.101 0.250 0.561
15 Te 0.214 0.750 0.829
16 Te 0.286 0.250 0.329
17 Te 0.399 0.750 0.061
18 Te 0.449 0.250 0.649
19 Te 0.551 0.750 0.351
20 Te 0.601 0.250 0.939
21 Te 0.714 0.750 0.671
22 Te 0.786 0.250 0.171
23 Te 0.899 0.750 0.439
24 Te 0.949 0.250 0.851

Calculated values
The final energy is -3.955 eV per atom. As for the space group: Pnma (62).

---

10.
VASP calculation (PBE-GGA) on a relaxed LaTbHo crystal.

a = 5.503 Å, b = 5.503 Å, c = 5.503 Å
α = 60.00°, β = 60.00°, γ = 60.00°
Fractional coordinates of all 3 atoms:
1 La 0.000 0.000 0.000
2 Tb 0.500 0.500 0.500
3 Ho 0.250 0.250 0.250

Calculated values
The final energy is -4.018 eV per atom. The energy relative to the elements is 0.691 eV/atom. As for the space group: F-43m (216).

---

11.
VASP calculation (PBE-GGA) on a relaxed PrCo2BAs crystal.

a = 6.005 Å, b = 6.005 Å, c = 6.005 Å
α = 143.78°, β = 143.78°, γ = 52.16°
Fractional coordinates of all 5 atoms:
1 Pr 0.000 0.000 0.000
2 Co 0.275 0.775 0.500
3 Co 0.775 0.275 0.500
4 B 0.343 0.343 0.000
5 As 0.644 0.644 0.000

Calculated values
The final energy is -6.639 eV per atom. As for the space group: I4mm (107).

---

12.
VASP calculation (PBE-GGA) on a relaxed GdLu crystal.

a = 4.846 Å, b = 4.846 Å, c = 4.846 Å
α = 60.00°, β = 60.00°, γ = 60.00°
Fractional coordinates of all 2 atoms:
1 Gd 0.000 0.000 0.000
2 Lu 0.750 0.750 0.750

Calculated values
The final energy is -2.662 eV per atom. The energy relative to the elements is 1.927 eV/atom. As for the space group: F-43m (216).

---

13.
VASP calculation (PBE-GGA) on a relaxed BeFeBIr crystal.

a = 3.770 Å, b = 3.770 Å, c = 3.770 Å
α = 60.00°, β = 60.00°, γ = 60.00°
Fractional coordinates of all 4 atoms:
1 Be 0.000 0.000 0.000
2 Fe 0.750 0.750 0.750
3 B 0.500 0.500 0.500
4 Ir 0.250 0.250 0.250

Calculated values
The final energy is -7.106 eV per atom. As for the space group: F-43m (216).

---

14.
VASP calculation (PBE-GGA) on a relaxed LaPrAg2As4 crystal.

a = 4.100 Å, b = 4.100 Å, c = 10.660 Å
α = 90.00°, β = 90.00°, γ = 90.00°
Fractional coordinates of all 8 atoms:
1 La 0.000 0.000 0.000
2 Pr 0.500 0.500 0.459
3 Ag 0.000 0.500 0.728
4 Ag 0.500 0.000 0.728
5 As 0.000 0.000 0.553
6 As 0.000 0.500 0.232
7 As 0.500 0.000 0.232
8 As 0.500 0.500 0.903

Calculated values
The final energy is -5.042 eV per atom. As for the space group: P4mm (99).

---

15.
VASP calculation (PBE-GGA) on a relaxed Er5Be crystal.

a = 6.218 Å, b = 6.218 Å, c = 5.677 Å
α = 90.00°, β = 90.00°, γ = 120.00°
Fractional coordinates of all 6 atoms:
1 Er 0.000 0.500 0.000
2 Er 0.333 0.667 0.500
3 Er 0.500 0.000 0.000
4 Er 0.500 0.500 0.000
5 Er 0.667 0.333 0.500
6 Be 0.000 0.000 0.500

Calculated values
The final energy is -3.574 eV per atom. As for the space group: P6/mmm (191).

---

16.
VASP calculation (PBE-GGA) on a relaxed GdMg3Ga2PdAu2 crystal.

a = 3.414 Å, b = 7.858 Å, c = 7.858 Å
α = 123.17°, β = 90.00°, γ = 90.00°
Fractional coordinates of all 9 atoms:
1 Gd 0.000 0.000 0.000
2 Mg 0.500 0.367 0.367
3 Mg 0.500 0.570 0.862
4 Mg 0.500 0.862 0.570
5 Ga 0.500 0.279 0.948
6 Ga 0.500 0.948 0.279
7 Pd 0.000 0.629 0.629
8 Au 0.000 0.211 0.606
9 Au 0.000 0.606 0.211

Calculated values
The final energy is -3.415 eV per atom. As for the space group: Amm2 (38).

---

17.
VASP calculation (PBE-GGA) on a relaxed Li4AlCu2Pd crystal.

a = 4.216 Å, b = 4.216 Å, c = 5.982 Å
α = 90.00°, β = 90.00°, γ = 90.00°
Fractional coordinates of all 8 atoms:
1 Li 0.000 0.000 0.000
2 Li 0.000 0.500 0.240
3 Li 0.500 0.000 0.760
4 Li 0.500 0.500 0.500
5 Al 0.000 0.000 0.500
6 Cu 0.000 0.500 0.738
7 Cu 0.500 0.000 0.262
8 Pd 0.500 0.500 0.000

Calculated values
The final energy is -3.208 eV per atom. As for the space group: P-4m2 (115).

---

18.
VASP calculation (PBE-GGA) on a relaxed GdMgZn crystal.

a = 6.360 Å, b = 6.427 Å, c = 15.561 Å
α = 84.84°, β = 86.80°, γ = 61.29°
Fractional coordinates of all 24 atoms:
1 Gd 0.000 0.000 0.000
2 Gd 0.008 0.117 0.680
3 Gd 0.401 0.158 0.331
4 Gd 0.510 0.372 0.519
5 Gd 0.538 0.853 0.550
6 Gd 0.623 0.561 0.144
7 Gd 0.637 0.750 0.838
8 Gd 0.946 0.711 0.299
9 Mg 0.020 0.385 0.488
10 Mg 0.027 0.612 0.667
11 Mg 0.027 0.889 0.483
12 Mg 0.185 0.277 0.847
13 Mg 0.199 0.403 0.133
14 Mg 0.429 0.674 0.341
15 Mg 0.444 0.458 0.970
16 Mg 0.874 0.230 0.324
17 Zn 0.126 0.755 0.833
18 Zn 0.150 0.997 0.185
19 Zn 0.483 0.558 0.704
20 Zn 0.495 0.138 0.696
21 Zn 0.496 0.985 0.007
22 Zn 0.669 0.046 0.154
23 Zn 0.700 0.207 0.835
24 Zn 0.936 0.543 0.988

Calculated values
The final energy is -2.636 eV per atom. As for the space group: P1 (1).

---

19.
VASP calculation (PBE-GGA) on a relaxed UWAu crystal.

a = 4.607 Å, b = 4.607 Å, c = 4.607 Å
α = 60.00°, β = 60.00°, γ = 60.00°
Fractional coordinates of all 3 atoms:
1 U 0.000 0.000 0.000
2 W 0.250 0.250 0.250
3 Au 0.750 0.750 0.750

Calculated values
The final energy is -8.047 eV per atom. The energy relative to the elements is 1.127 eV/atom. As for the space group: F-43m (216).

---

20.
VASP calculation (PBE-GGA) on a relaxed CoNiSb2 crystal.

a = 4.683 Å, b = 4.683 Å, c = 4.683 Å
α = 60.00°, β = 60.00°, γ = 60.00°
Fractional coordinates of all 4 atoms:
1 Co 0.000 0.000 0.000
2 Ni 0.250 0.250 0.250
3 Sb 0.500 0.500 0.500
4 Sb 0.750 0.750 0.750

Calculated values
The final energy is -4.591 eV per atom. As for the space group: F-43m (216).